[1]
A plane-wave DFT calculation with PBE was carried out for an optimized crystal structure of GdErTmTh.

Properties
Density ... 9.515 g cm⁻³
Volume ... 31.65 Å³ per atom
DFT formation energy ... 0.46 eV/f.u.

a = 7.9710 Å, b = 7.9710 Å, c = 7.9710 Å
α = 90.00°, β = 90.00°, γ = 90.00°
With the nearest neighbours (Å) after each atom.
Space group F-43m (No. 216)
Inequivalent atoms, fractional coordinates:
Gd  0.0000  0.0000  0.0000 [4 per cell]  4 Er 3.45, 4 Tm 3.45
Er  0.2500  0.2500  0.2500 [4 per cell]  4 Th 3.45, 4 Gd 3.45
Tm  0.2500  0.2500  0.7500 [4 per cell]  4 Gd 3.45, 4 Th 3.45
Th  0.0000  0.0000  0.5000 [4 per cell]  4 Er 3.45, 4 Tm 3.45

***

[2]
A plane-wave DFT calculation with PBE was carried out for an optimized crystal structure of GdYErTh.

Properties
Density ... 8.306 g cm⁻³
Volume ... 32.26 Å³ per atom
DFT formation energy ... 0.61 eV/f.u.

a = 8.0216 Å, b = 8.0216 Å, c = 8.0216 Å
α = 90.00°, β = 90.00°, γ = 90.00°
With the nearest neighbours (Å) after each atom.
Space group F-43m (No. 216)
Inequivalent atoms, fractional coordinates:
Gd  0.0000  0.0000  0.0000 [4 per cell]  4 Th 3.47, 4 Y 3.47
Y  0.2500  0.2500  0.2500 [4 per cell]  4 Gd 3.47, 4 Er 3.47
Er  0.0000  0.0000  0.5000 [4 per cell]  4 Th 3.47, 4 Y 3.47
Th  0.2500  0.2500  0.7500 [4 per cell]  4 Gd 3.47, 4 Er 3.47

***

[3]
A plane-wave DFT calculation with PBE was carried out for an optimized crystal structure of Gd2ErTi.

Properties
Density ... 8.014 g cm⁻³
Volume ... 27.43 Å³ per atom
DFT formation energy ... 0.69 eV/f.u.

a = 3.4068 Å, b = 3.4068 Å, c = 9.4550 Å
α = 90.00°, β = 90.00°, γ = 90.00°
With the nearest neighbours (Å) after each atom.
Space group P4/mmm (No. 123)
Inequivalent atoms, fractional coordinates:
Gd  0.0000  0.0000  0.2226 [2 per cell]  4 Ti 3.20, 4 Gd 3.41, 4 Er 3.56
Er  0.5000  0.5000  0.5000 [1 per cell]  4 Er 3.41, 8 Gd 3.56
Ti  0.5000  0.5000  0.0000 [1 per cell]  8 Gd 3.20, 4 Ti 3.41

***

[4]
A plane-wave DFT calculation with PBE was carried out for an optimized crystal structure of GdErTi4.

Properties
Density ... 6.210 g cm⁻³
Volume ... 23.00 Å³ per atom
DFT formation energy ... 1.36 eV/f.u.

a = 8.2026 Å, b = 8.2026 Å, c = 8.2026 Å
α = 90.00°, β = 90.00°, γ = 90.00°
With the nearest neighbours (Å) after each atom.
Space group F-43m (No. 216)
Inequivalent atoms, fractional coordinates:
Gd  0.0000  0.0000  0.0000 [4 per cell]  12 Ti 3.40, 4 Er 3.55
Er  0.2500  0.2500  0.7500 [4 per cell]  12 Ti 3.40, 4 Gd 3.55
Ti  0.1244  0.1244  0.3756 [16 per cell]  6 Ti 2.89-2.91

***

[5]
A plane-wave DFT calculation with PBE was carried out for an optimized crystal structure of GdEr2Ti.

Properties
Density ... 8.293 g cm⁻³
Volume ... 27.01 Å³ per atom
DFT formation energy ... 0.75 eV/f.u.

a = 4.7662 Å, b = 4.7662 Å, c = 4.7564 Å
α = 90.00°, β = 90.00°, γ = 90.00°
With the nearest neighbours (Å) after each atom.
Space group P4/mmm (No. 123)
Inequivalent atoms, fractional coordinates:
Gd  0.0000  0.0000  0.0000 [1 per cell]  8 Er 3.37, 4 Ti 3.37
Er  0.0000  0.5000  0.5000 [2 per cell]  4 Gd 3.37, 4 Ti 3.37, 4 Er 3.37
Ti  0.5000  0.5000  0.0000 [1 per cell]  8 Er 3.37, 4 Gd 3.37

***

[6]
A plane-wave DFT calculation with PBE was carried out for an optimized crystal structure of Gd2ErTi.

Properties
Density ... 8.001 g cm⁻³
Volume ... 27.48 Å³ per atom
DFT formation energy ... 0.78 eV/f.u.

a = 4.7866 Å, b = 4.7866 Å, c = 4.7979 Å
α = 90.00°, β = 90.00°, γ = 90.00°
With the nearest neighbours (Å) after each atom.
Space group P4/mmm (No. 123)
Inequivalent atoms, fractional coordinates:
Gd  0.0000  0.5000  0.0000 [2 per cell]  4 Gd 3.38, 4 Er 3.39, 4 Ti 3.39
Er  0.0000  0.0000  0.5000 [1 per cell]  4 Ti 3.38, 8 Gd 3.39
Ti  0.5000  0.5000  0.5000 [1 per cell]  4 Er 3.38, 8 Gd 3.39

***

[7]
A plane-wave DFT calculation with PBE was carried out for an optimized crystal structure of GdErTiTl.

Properties
Density ... 9.235 g cm⁻³
Volume ... 25.93 Å³ per atom
DFT formation energy ... 0.07 eV/f.u.

a = 7.4579 Å, b = 7.4579 Å, c = 7.4579 Å
α = 90.00°, β = 90.00°, γ = 90.00°
With the nearest neighbours (Å) after each atom.
Space group F-43m (No. 216)
Inequivalent atoms, fractional coordinates:
Gd  0.0000  0.0000  0.0000 [4 per cell]  4 Tl 3.23, 4 Ti 3.23
Er  0.0000  0.0000  0.5000 [4 per cell]  4 Tl 3.23, 4 Ti 3.23
Ti  0.2500  0.2500  0.2500 [4 per cell]  4 Gd 3.23, 4 Er 3.23
Tl  0.2500  0.2500  0.7500 [4 per cell]  4 Gd 3.23, 4 Er 3.23

***

[8]
A plane-wave DFT calculation with PBE was carried out for an optimized crystal structure of GdEr2Tl.

Properties
Density ... 9.831 g cm⁻³
Volume ... 29.40 Å³ per atom
DFT formation energy ... -0.63 eV/f.u.

a = 3.6045 Å, b = 3.6045 Å, c = 9.0501 Å
α = 90.00°, β = 90.00°, γ = 90.00°
With the nearest neighbours (Å) after each atom.
Space group P4/mmm (No. 123)
Inequivalent atoms, fractional coordinates:
Gd  0.0000  0.0000  0.0000 [1 per cell]  8 Er 3.55, 4 Gd 3.60
Er  0.5000  0.5000  0.2726 [2 per cell]  4 Tl 3.28, 4 Gd 3.55, 4 Er 3.60
Tl  0.0000  0.0000  0.5000 [1 per cell]  8 Er 3.28, 4 Tl 3.60

***

[9]
A plane-wave DFT calculation with PBE was carried out for an optimized crystal structure of GdEr2Tl.

Properties
Density ... 10.214 g cm⁻³
Volume ... 28.29 Å³ per atom
DFT formation energy ... -0.12 eV/f.u.

a = 7.6784 Å, b = 7.6784 Å, c = 7.6784 Å
α = 90.00°, β = 90.00°, γ = 90.00°
With the nearest neighbours (Å) after each atom.
Space group Fm-3m (No. 225)
Inequivalent atoms, fractional coordinates:
Gd  0.0000  0.0000  0.0000 [4 per cell]  8 Er 3.32
Er  0.2500  0.2500  0.2500 [8 per cell]  4 Gd 3.32, 4 Tl 3.32
Tl  0.0000  0.0000  0.5000 [4 per cell]  8 Er 3.32

***

[10]
A plane-wave DFT calculation with PBE was carried out for an optimized crystal structure of GdEr2Tl.

Properties
Density ... 10.238 g cm⁻³
Volume ... 28.23 Å³ per atom
DFT formation energy ... -0.76 eV/f.u.

a = 4.8526 Å, b = 4.8526 Å, c = 4.7949 Å
α = 90.00°, β = 90.00°, γ = 90.00°
With the nearest neighbours (Å) after each atom.
Space group P4/mmm (No. 123)
Inequivalent atoms, fractional coordinates:
Gd  0.0000  0.0000  0.0000 [1 per cell]  8 Er 3.41, 4 Tl 3.43
Er  0.0000  0.5000  0.5000 [2 per cell]  4 Gd 3.41, 4 Tl 3.41, 4 Er 3.43
Tl  0.5000  0.5000  0.0000 [1 per cell]  8 Er 3.41, 4 Gd 3.43

***

[11]
A plane-wave DFT calculation with PBE was carried out for an optimized crystal structure of GdErTl.

Properties
Density ... 9.907 g cm⁻³
Volume ... 29.55 Å³ per atom
DFT formation energy ... -0.45 eV/f.u.

a = 5.2607 Å, b = 5.2607 Å, c = 3.6987 Å
α = 90.00°, β = 90.00°, γ = 120.00°
With the nearest neighbours (Å) after each atom.
Space group P3m1 (No. 156)
Inequivalent atoms, fractional coordinates:
Gd  0.0000  0.0000  0.0000 [1 per cell]  3 Tl 3.37, 6 Er 3.50-3.61, 2 Gd 3.70
Er  0.6667  0.3333  0.5290 [1 per cell]  3 Tl 3.08
Tl  0.3333  0.6667  0.3925 [1 per cell]  3 Er 3.08, 3 Gd 3.37

***

[12]
A plane-wave DFT calculation with PBE was carried out for an optimized crystal structure of GdErTl.

Properties
Density ... 8.921 g cm⁻³
Volume ... 32.82 Å³ per atom
DFT formation energy ... -0.17 eV/f.u.

a = 7.3298 Å, b = 7.3298 Å, c = 7.3298 Å
α = 90.00°, β = 90.00°, γ = 90.00°
With the nearest neighbours (Å) after each atom.
Space group F-43m (No. 216)
Inequivalent atoms, fractional coordinates:
Gd  0.0000  0.0000  0.0000 [4 per cell]  4 Tl 3.17
Er  0.0000  0.0000  0.5000 [4 per cell]  4 Tl 3.17
Tl  0.2500  0.2500  0.2500 [4 per cell]  4 Gd 3.17, 4 Er 3.17